(1)
## LiTiGe2 (PBE)

Data for a relaxed structure of LiTiGe2.

```
data_LiTiGe2
_cell_length_a 4.1615
_cell_length_b 4.1615
_cell_length_c 20.9984
_cell_angle_alpha 90.00
_cell_angle_beta 90.00
_cell_angle_gamma 120.00
_space_group_name_H-M_alt 'R -3 m'
_space_group_IT_number 166
_space_group_name_Hall '-R 3 2"'
loop_
_atom_site_label
_atom_site_fract_x
_atom_site_fract_y
_atom_site_fract_z
Li1 0.0000 0.0000 0.0000
Ti1 0.0000 0.0000 0.5000
Ge1 0.0000 0.0000 0.1209
```

As for the crystal system: trigonal. The density of states at the Fermi level is 0.86 states/eV/atom. The value obtained for the total energy is -54.6 eV for the cell shown. The calculation puts the relative energy among the computed polymorphs at 2.17 eV per formula unit. Its energy of formation is 0.21 eV/atom.

***

(2)
## Al2Zn2GaPd5 (PBE)

Data for a relaxed structure of Al2Zn2GaPd5.

```
data_Al2Zn2GaPd5
_cell_length_a 10.526
_cell_length_b 10.526
_cell_length_c 2.856
_cell_angle_alpha 90.00
_cell_angle_beta 90.00
_cell_angle_gamma 90.00
_space_group_name_H-M_alt 'P 4/m b m'
_space_group_IT_number 127
_space_group_name_Hall '-P 4 2ab'
loop_
_atom_site_label
_atom_site_fract_x
_atom_site_fract_y
_atom_site_fract_z
Al1 0.144 0.356 0.000
Zn1 0.147 0.647 0.000
Ga1 0.000 0.000 0.000
Pd1 0.000 0.500 0.500
Pd2 0.142 0.153 0.500
```

As for the crystal system: tetragonal. The density of states at the Fermi level is 0.30 states/eV/atom. The value obtained for the total energy is -89.6 eV for the cell shown. Its energy of formation is -0.58 eV/atom.

***

(3)
## RbH3O (PBE)

Data for a relaxed structure of RbH3O.

```
data_RbH3O
_cell_length_a 3.695
_cell_length_b 3.695
_cell_length_c 3.695
_cell_angle_alpha 90.00
_cell_angle_beta 90.00
_cell_angle_gamma 90.00
_space_group_name_H-M_alt 'P m -3 m'
_space_group_IT_number 221
_space_group_name_Hall '-P 4 2 3'
loop_
_atom_site_label
_atom_site_fract_x
_atom_site_fract_y
_atom_site_fract_z
Rb1 0.000 0.000 0.000
H1 0.000 0.500 0.500
O1 0.500 0.500 0.500
```

As for the crystal system: cubic. The density of states at the Fermi level is 0.22 states/eV/atom. The value obtained for the total energy is -13.1 eV for the cell shown. The calculation puts the relative energy among the computed polymorphs at 3.86 eV per formula unit.

***

(4)
## LaTeAu (PBE)

Data for a relaxed structure of LaTeAu.

```
data_LaTeAu
_cell_length_a 4.7153
_cell_length_b 4.7153
_cell_length_c 4.6293
_cell_angle_alpha 90.00
_cell_angle_beta 90.00
_cell_angle_gamma 120.00
_space_group_name_H-M_alt 'P 3 m 1'
_space_group_IT_number 156
_space_group_name_Hall 'P 3 -2"'
loop_
_atom_site_label
_atom_site_fract_x
_atom_site_fract_y
_atom_site_fract_z
La1 0.0000 0.0000 0.0000
Te1 0.6667 0.3333 0.4336
Au1 0.3333 0.6667 0.7302
```

As for the crystal system: trigonal. The value obtained for the energy relative to the elements, uncorrected is -1066.4 meV per atom. The density of states at the Fermi level is 0.01 states/eV/atom. The value obtained for the total energy is -14.5 eV for the cell shown.

***

(5)
## Tb2HoPaS4 (PBE)

Data for a relaxed structure of Tb2HoPaS4.

```
data_Tb2HoPaS4
_cell_length_a 6.771
_cell_length_b 3.879
_cell_length_c 6.787
_cell_angle_alpha 90.00
_cell_angle_beta 109.05
_cell_angle_gamma 90.00
_space_group_name_H-M_alt 'P 1 2/m 1'
_space_group_IT_number 10
_space_group_name_Hall '-P 2y'
loop_
_atom_site_label
_atom_site_fract_x
_atom_site_fract_y
_atom_site_fract_z
Tb1 0.000 0.000 0.000
Tb2 0.000 0.500 0.500
Ho1 0.500 0.000 0.500
Pa1 0.500 0.500 0.000
S1 0.250 0.000 0.748
S2 0.253 0.500 0.252
```

As for the crystal system: monoclinic. The value obtained for the energy relative to the elements, uncorrected is -1881.7 meV per atom. The density of states at the Fermi level is 0.66 states/eV/atom. The value obtained for the total energy is -54.9 eV for the cell shown.

***

(6)
## K3U3TaS8 (PBE)

Data for a relaxed structure of K3U3TaS8.

```
data_K3U3TaS8
_cell_length_a 13.395
_cell_length_b 7.658
_cell_length_c 8.898
_cell_angle_alpha 90.00
_cell_angle_beta 120.34
_cell_angle_gamma 90.00
_space_group_name_H-M_alt 'C 1 2/m 1'
_space_group_IT_number 12
_space_group_name_Hall '-C 2y'
loop_
_atom_site_label
_atom_site_fract_x
_atom_site_fract_y
_atom_site_fract_z
K1 0.000 0.000 0.000
K2 0.250 0.250 0.000
U1 0.000 0.500 0.500
U2 0.250 0.250 0.500
Ta1 0.000 0.000 0.500
S1 0.014 0.235 0.307
S2 0.221 0.000 0.694
S3 0.236 0.500 0.710
```

As for the crystal system: monoclinic. The value obtained for the energy relative to the elements, uncorrected is -1287.1 meV per atom. The density of states at the Fermi level is 1.16 states/eV/atom. The value obtained for the total energy is -202.7 eV for the cell shown.

***

(7)
## CdB2RhC (PBE)

Data for a relaxed structure of CdB2RhC.

```
data_CdB2RhC
_cell_length_a 3.916
_cell_length_b 3.916
_cell_length_c 5.416
_cell_angle_alpha 90.00
_cell_angle_beta 90.00
_cell_angle_gamma 90.00
_space_group_name_H-M_alt 'P 4/m m m'
_space_group_IT_number 123
_space_group_name_Hall '-P 4 2'
loop_
_atom_site_label
_atom_site_fract_x
_atom_site_fract_y
_atom_site_fract_z
Cd1 0.000 0.000 0.000
B1 0.000 0.500 0.500
Rh1 0.000 0.000 0.500
C1 0.500 0.500 0.000
```

As for the crystal system: tetragonal. The density of states at the Fermi level is 0.58 states/eV/atom. The value obtained for the total energy is -22.0 eV for the cell shown. Its energy of formation is 1.77 eV/atom.

***

(8)
## ScCdFeAs2 (PBE)

Data for a relaxed structure of ScCdFeAs2.

```
data_ScCdFeAs2
_cell_length_a 5.067
_cell_length_b 5.067
_cell_length_c 4.460
_cell_angle_alpha 90.00
_cell_angle_beta 90.00
_cell_angle_gamma 90.00
_space_group_name_H-M_alt 'P 4/m m m'
_space_group_IT_number 123
_space_group_name_Hall '-P 4 2'
loop_
_atom_site_label
_atom_site_fract_x
_atom_site_fract_y
_atom_site_fract_z
Sc1 0.000 0.000 0.000
Cd1 0.500 0.500 0.500
Fe1 0.000 0.000 0.500
As1 0.000 0.500 0.000
```

As for the crystal system: tetragonal. The density of states at the Fermi level is 1.14 states/eV/atom. The value obtained for the total energy is -21.6 eV for the cell shown. Its energy of formation is 0.68 eV/atom.

***

Number 6 is which compound? K3U3TaS8